Li2ErPd7: relaxed, PBE.

Unit cell a=7.204 b=11.513 c=4.371 alpha=90.00 beta=90.00 gamma=90.00
Space group Cmmm (No. 65)
Symmetry-distinct sites (fractional):
1 Li 0.000 0.199 0.000 x4
2 Er 0.000 0.500 0.500 x2
3 Pd 0.000 0.000 0.000 x2
4 Pd 0.000 0.255 0.500 x4
5 Pd 0.188 0.376 0.000 x8

Values from the calculation:
The value obtained for the density of states at the Fermi level is 5.77 states/eV/f.u. The value obtained for the formation energy is -0.04 eV/atom. The calculated total energy is -90.26 eV for the cell shown.